A geometry-optimized PmDy6Y2Er3 structure. Source: Alexandria, functional PBE-GGA.

abc: 6.140 6.140 11.759
angles: 94.97 94.97 119.95
Fractional coordinates of all 12 atoms:
1 Pm 0.000 0.000 0.000
2 Dy 0.085 0.418 0.253
3 Dy 0.248 0.248 0.747
4 Dy 0.418 0.085 0.253
5 Dy 0.582 0.915 0.747
6 Dy 0.752 0.752 0.253
7 Dy 0.915 0.582 0.747
8 Y 0.333 0.667 0.000
9 Y 0.667 0.333 0.000
10 Er 0.167 0.833 0.500
11 Er 0.500 0.500 0.500
12 Er 0.833 0.167 0.500

Values from the calculation:
- energy relative to the elements (eV per formula unit) = 0.2
- calculated total energy (eV for the cell shown) = -58.749
- M_tot (μB/f.u.) = 0.00

---

A geometry-optimized Pm2DyY2Er4 structure. Source: Alexandria, functional PBE-GGA.

abc: 9.485 9.485 9.534
angles: 115.25 115.25 21.80
Fractional coordinates of all 9 atoms:
1 Pm 0.166 0.166 0.001
2 Pm 0.834 0.834 0.999
3 Dy 0.500 0.500 0.000
4 Y 0.353 0.353 0.337
5 Y 0.647 0.647 0.663
6 Er 0.019 0.019 0.334
7 Er 0.315 0.315 0.664
8 Er 0.685 0.685 0.336
9 Er 0.981 0.981 0.666

Values from the calculation:
- energy relative to the elements (eV per formula unit) = 0.0
- calculated total energy (eV for the cell shown) = -45.313
- M_tot (μB/f.u.) = 0.00

---

A geometry-optimized PmDy6Y3Er2 structure. Source: Alexandria, functional PBE-GGA.

abc: 6.149 6.149 11.779
angles: 94.97 94.97 119.95
Fractional coordinates of all 12 atoms:
1 Pm 0.000 0.000 0.000
2 Dy 0.084 0.418 0.250
3 Dy 0.250 0.250 0.751
4 Dy 0.418 0.084 0.250
5 Dy 0.582 0.916 0.750
6 Dy 0.750 0.750 0.249
7 Dy 0.916 0.582 0.750
8 Y 0.167 0.833 0.500
9 Y 0.500 0.500 0.500
10 Y 0.833 0.167 0.500
11 Er 0.333 0.667 0.000
12 Er 0.667 0.333 0.000

Values from the calculation:
- energy relative to the elements (eV per formula unit) = 0.2
- calculated total energy (eV for the cell shown) = -60.652
- M_tot (μB/f.u.) = 0.00

---

A geometry-optimized Pm2Dy3YEr6 structure. Source: Alexandria, functional PBE-GGA.

abc: 6.140 6.140 11.731
angles: 94.99 94.99 119.95
Fractional coordinates of all 12 atoms:
1 Pm 0.167 0.833 0.000
2 Pm 0.833 0.167 0.000
3 Dy 0.000 0.000 0.500
4 Dy 0.333 0.667 0.500
5 Dy 0.667 0.333 0.500
6 Y 0.500 0.500 0.000
7 Er 0.082 0.415 0.748
8 Er 0.251 0.251 0.252
9 Er 0.415 0.082 0.748
10 Er 0.585 0.918 0.252
11 Er 0.749 0.749 0.748
12 Er 0.918 0.585 0.252

Values from the calculation:
- energy relative to the elements (eV per formula unit) = 0.2
- calculated total energy (eV for the cell shown) = -56.915
- M_tot (μB/f.u.) = 0.00

---

A geometry-optimized Pm4DyY2Er2 structure. Source: Alexandria, functional PBE-GGA.

abc: 8.030 8.030 8.025
angles: 107.44 107.44 36.82
Fractional coordinates of all 9 atoms:
1 Pm 0.055 0.055 0.330
2 Pm 0.278 0.278 0.669
3 Pm 0.722 0.722 0.331
4 Pm 0.945 0.945 0.670
5 Dy 0.500 0.500 0.000
6 Y 0.388 0.388 0.331
7 Y 0.612 0.612 0.669
8 Er 0.167 0.167 0.000
9 Er 0.833 0.833 0.000

Values from the calculation:
- energy relative to the elements (eV per formula unit) = 0.2
- calculated total energy (eV for the cell shown) = -45.480
- M_tot (μB/f.u.) = 0.00

---

A geometry-optimized PmDy2YEr5 structure. Source: Alexandria, functional PBE-GGA.

abc: 9.637 9.637 9.637
angles: 125.01 125.01 81.53
Fractional coordinates of all 18 atoms:
1 Pm 0.250 0.250 0.000
2 Pm 0.750 0.750 0.000
3 Dy 0.112 0.612 0.725
4 Dy 0.388 0.112 0.500
5 Dy 0.612 0.888 0.500
6 Dy 0.888 0.388 0.275
7 Y 0.250 0.750 0.500
8 Y 0.750 0.250 0.500
9 Er 0.000 0.000 0.000
10 Er 0.074 0.162 0.500
11 Er 0.162 0.662 0.088
12 Er 0.338 0.426 0.500
13 Er 0.426 0.926 0.088
14 Er 0.500 0.500 0.000
15 Er 0.574 0.074 0.912
16 Er 0.662 0.574 0.500
17 Er 0.838 0.338 0.912
18 Er 0.926 0.838 0.500

Values from the calculation:
- energy relative to the elements (eV per formula unit) = 2.6
- calculated total energy (eV for the cell shown) = -81.234
- M_tot (μB/f.u.) = 0.00

---

A geometry-optimized Pm2Dy2Y6Er structure. Source: Alexandria, functional PBE-GGA.

abc: 6.660 6.660 10.607
angles: 90.02 90.02 129.59
Fractional coordinates of all 11 atoms:
1 Pm 0.134 0.866 0.000
2 Pm 0.866 0.134 0.000
3 Dy 0.206 0.794 0.500
4 Dy 0.794 0.206 0.500
5 Y 0.001 0.001 0.297
6 Y 0.346 0.652 0.791
7 Y 0.348 0.654 0.209
8 Y 0.652 0.346 0.791
9 Y 0.654 0.348 0.209
10 Y 0.999 0.999 0.703
11 Er 0.500 0.500 0.500

Values from the calculation:
- energy relative to the elements (eV per formula unit) = 1.6
- calculated total energy (eV for the cell shown) = -60.474
- M_tot (μB/f.u.) = 0.01

---

A geometry-optimized Pm4Dy2YEr2 structure. Source: Alexandria, functional PBE-GGA.

abc: 8.026 8.026 8.018
angles: 107.47 107.47 36.81
Fractional coordinates of all 9 atoms:
1 Pm 0.055 0.055 0.332
2 Pm 0.277 0.277 0.668
3 Pm 0.723 0.723 0.332
4 Pm 0.945 0.945 0.668
5 Dy 0.388 0.388 0.331
6 Dy 0.612 0.612 0.669
7 Y 0.500 0.500 0.000
8 Er 0.168 0.168 0.000
9 Er 0.832 0.832 0.000

Values from the calculation:
- energy relative to the elements (eV per formula unit) = 0.2
- calculated total energy (eV for the cell shown) = -43.617
- M_tot (μB/f.u.) = 0.00

---

A geometry-optimized PmDyY5Er2 structure. Source: Alexandria, functional PBE-GGA.

abc: 10.457 10.457 10.487
angles: 90.00 90.00 148.82
Fractional coordinates of all 18 atoms:
1 Pm 0.197 0.803 0.500
2 Pm 0.803 0.197 0.000
3 Dy 0.413 0.587 0.935
4 Dy 0.587 0.413 0.435
5 Y 0.016 0.984 0.508
6 Y 0.278 0.722 0.801
7 Y 0.301 0.699 0.191
8 Y 0.389 0.611 0.511
9 Y 0.478 0.522 0.223
10 Y 0.522 0.478 0.723
11 Y 0.611 0.389 0.011
12 Y 0.699 0.301 0.691
13 Y 0.722 0.278 0.301
14 Y 0.984 0.016 0.008
15 Er 0.111 0.889 0.221
16 Er 0.113 0.887 0.804
17 Er 0.887 0.113 0.304
18 Er 0.889 0.111 0.721

Values from the calculation:
- energy relative to the elements (eV per formula unit) = 1.4
- calculated total energy (eV for the cell shown) = -98.771
- M_tot (μB/f.u.) = 0.00

---

A geometry-optimized Pm2Dy6Y3Er structure. Source: Alexandria, functional PBE-GGA.

abc: 6.172 6.172 11.818
angles: 94.97 94.97 119.96
Fractional coordinates of all 12 atoms:
1 Pm 0.167 0.833 0.000
2 Pm 0.833 0.167 0.000
3 Dy 0.083 0.416 0.749
4 Dy 0.252 0.252 0.251
5 Dy 0.416 0.083 0.749
6 Dy 0.584 0.917 0.251
7 Dy 0.748 0.748 0.749
8 Dy 0.917 0.584 0.251
9 Y 0.000 0.000 0.500
10 Y 0.334 0.666 0.500
11 Y 0.666 0.334 0.500
12 Er 0.500 0.500 0.000

Values from the calculation:
- energy relative to the elements (eV per formula unit) = 0.2
- calculated total energy (eV for the cell shown) = -60.855
- M_tot (μB/f.u.) = 0.02

---

A geometry-optimized Pm2DyYEr5 structure. Source: Alexandria, functional PBE-GGA.

abc: 9.855 9.855 9.855
angles: 128.23 128.23 76.25
Fractional coordinates of all 18 atoms:
1 Pm 0.117 0.617 0.734
2 Pm 0.383 0.117 0.500
3 Pm 0.617 0.883 0.500
4 Pm 0.883 0.383 0.266
5 Dy 0.250 0.750 0.500
6 Dy 0.750 0.250 0.500
7 Y 0.250 0.250 0.000
8 Y 0.750 0.750 0.000
9 Er 0.000 0.000 0.000
10 Er 0.072 0.150 0.500
11 Er 0.150 0.650 0.078
12 Er 0.350 0.428 0.500
13 Er 0.428 0.928 0.078
14 Er 0.500 0.500 0.000
15 Er 0.572 0.072 0.922
16 Er 0.650 0.572 0.500
17 Er 0.850 0.350 0.922
18 Er 0.928 0.850 0.500

Values from the calculation:
- energy relative to the elements (eV per formula unit) = 2.4
- calculated total energy (eV for the cell shown) = -81.877
- M_tot (μB/f.u.) = 0.00

---

A geometry-optimized Pm2Dy2Y2Er structure. Source: Alexandria, functional PBE-GGA.

abc: 8.803 8.803 8.803
angles: 37.79 37.79 37.79
Fractional coordinates of all 7 atoms:
1 Pm 0.139 0.139 0.139
2 Pm 0.861 0.861 0.861
3 Dy 0.426 0.426 0.426
4 Dy 0.574 0.574 0.574
5 Y 0.285 0.285 0.285
6 Y 0.715 0.715 0.715
7 Er 0.000 0.000 0.000

Values from the calculation:
- energy relative to the elements (eV per formula unit) = 1.0
- calculated total energy (eV for the cell shown) = -35.220
- M_tot (μB/f.u.) = 0.35

---

A geometry-optimized Pm3Dy6YEr2 structure. Source: Alexandria, functional PBE-GGA.

abc: 6.179 6.179 11.812
angles: 94.98 94.98 119.97
Fractional coordinates of all 12 atoms:
1 Pm 0.000 0.000 0.000
2 Pm 0.333 0.667 0.000
3 Pm 0.667 0.333 0.000
4 Dy 0.083 0.417 0.253
5 Dy 0.248 0.248 0.747
6 Dy 0.417 0.083 0.253
7 Dy 0.583 0.917 0.747
8 Dy 0.752 0.752 0.253
9 Dy 0.917 0.583 0.747
10 Y 0.500 0.500 0.500
11 Er 0.167 0.833 0.500
12 Er 0.833 0.167 0.500

Values from the calculation:
- energy relative to the elements (eV per formula unit) = 0.2
- calculated total energy (eV for the cell shown) = -57.236
- M_tot (μB/f.u.) = 0.00

---

A geometry-optimized Pm6DyY3Er2 structure. Source: Alexandria, functional PBE-GGA.

abc: 6.245 6.245 11.829
angles: 95.03 95.03 119.99
Fractional coordinates of all 12 atoms:
1 Pm 0.083 0.417 0.752
2 Pm 0.250 0.250 0.248
3 Pm 0.417 0.083 0.752
4 Pm 0.583 0.917 0.248
5 Pm 0.750 0.750 0.752
6 Pm 0.917 0.583 0.248
7 Dy 0.500 0.500 0.000
8 Y 0.000 0.000 0.500
9 Y 0.333 0.667 0.500
10 Y 0.667 0.333 0.500
11 Er 0.167 0.833 0.000
12 Er 0.833 0.167 0.000

Values from the calculation:
- energy relative to the elements (eV per formula unit) = 0.1
- calculated total energy (eV for the cell shown) = -61.479
- M_tot (μB/f.u.) = 0.00

---

A geometry-optimized Pm3Dy6Y2Er structure. Source: Alexandria, functional PBE-GGA.

abc: 6.188 6.188 11.829
angles: 94.99 94.99 119.98
Fractional coordinates of all 12 atoms:
1 Pm 0.000 0.000 0.000
2 Pm 0.333 0.667 0.000
3 Pm 0.667 0.333 0.000
4 Dy 0.085 0.417 0.253
5 Dy 0.251 0.251 0.748
6 Dy 0.417 0.085 0.253
7 Dy 0.583 0.915 0.747
8 Dy 0.749 0.749 0.252
9 Dy 0.915 0.583 0.747
10 Y 0.167 0.833 0.500
11 Y 0.833 0.167 0.500
12 Er 0.500 0.500 0.500

Values from the calculation:
- energy relative to the elements (eV per formula unit) = 0.2
- calculated total energy (eV for the cell shown) = -59.140
- M_tot (μB/f.u.) = 0.00

---

A geometry-optimized PmDy2Y6Er structure. Source: Alexandria, functional PBE-GGA.

abc: 8.790 8.790 9.602
angles: 94.05 94.05 117.51
Fractional coordinates of all 20 atoms:
1 Pm 0.024 0.976 0.750
2 Pm 0.976 0.024 0.250
3 Dy 0.198 0.301 0.547
4 Dy 0.301 0.198 0.047
5 Dy 0.699 0.802 0.953
6 Dy 0.802 0.699 0.453
7 Y 0.015 0.567 0.684
8 Y 0.122 0.751 0.057
9 Y 0.249 0.878 0.443
10 Y 0.293 0.508 0.883
11 Y 0.433 0.985 0.816
12 Y 0.492 0.707 0.617
13 Y 0.508 0.293 0.383
14 Y 0.567 0.015 0.184
15 Y 0.707 0.492 0.117
16 Y 0.751 0.122 0.557
17 Y 0.878 0.249 0.943
18 Y 0.985 0.433 0.316
19 Er 0.410 0.590 0.250
20 Er 0.590 0.410 0.750

Values from the calculation:
- energy relative to the elements (eV per formula unit) = 1.2
- calculated total energy (eV for the cell shown) = -112.253
- M_tot (μB/f.u.) = 0.00

---

A geometry-optimized PmDyY6Er2 structure. Source: Alexandria, functional PBE-GGA.

abc: 8.763 8.763 9.639
angles: 94.38 94.38 117.17
Fractional coordinates of all 20 atoms:
1 Pm 0.093 0.907 0.750
2 Pm 0.907 0.093 0.250
3 Dy 0.475 0.525 0.250
4 Dy 0.525 0.475 0.750
5 Y 0.006 0.794 0.382
6 Y 0.072 0.521 0.182
7 Y 0.206 0.994 0.118
8 Y 0.253 0.619 0.556
9 Y 0.381 0.747 0.944
10 Y 0.479 0.928 0.318
11 Y 0.521 0.072 0.682
12 Y 0.619 0.253 0.056
13 Y 0.747 0.381 0.444
14 Y 0.794 0.006 0.882
15 Y 0.928 0.479 0.818
16 Y 0.994 0.206 0.618
17 Er 0.206 0.307 0.954
18 Er 0.307 0.206 0.454
19 Er 0.693 0.794 0.546
20 Er 0.794 0.693 0.046

Values from the calculation:
- energy relative to the elements (eV per formula unit) = 1.2
- calculated total energy (eV for the cell shown) = -112.097
- M_tot (μB/f.u.) = 0.00

---

A geometry-optimized PmDyErZr structure. Source: Alexandria, functional PBE-GGA.

abc: 5.516 5.516 5.516
angles: 60.00 60.00 60.00
Fractional coordinates of all 4 atoms:
1 Pm 0.000 0.000 0.000
2 Dy 0.750 0.750 0.750
3 Er 0.500 0.500 0.500
4 Zr 0.250 0.250 0.250

Values from the calculation:
- energy relative to the elements (eV per formula unit) = 0.9
- calculated total energy (eV for the cell shown) = -21.569
- M_tot (μB/f.u.) = 2.34

---

A geometry-optimized Pm3Dy2Er6Zr structure. Source: Alexandria, functional PBE-GGA.

abc: 6.098 6.098 11.608
angles: 95.02 95.02 119.94
Fractional coordinates of all 12 atoms:
1 Pm 0.000 0.000 0.000
2 Pm 0.334 0.666 0.000
3 Pm 0.666 0.334 0.000
4 Dy 0.167 0.833 0.500
5 Dy 0.833 0.167 0.500
6 Er 0.093 0.420 0.258
7 Er 0.254 0.254 0.742
8 Er 0.420 0.093 0.258
9 Er 0.580 0.907 0.742
10 Er 0.746 0.746 0.258
11 Er 0.907 0.580 0.742
12 Zr 0.500 0.500 0.500

Values from the calculation:
- energy relative to the elements (eV per formula unit) = 0.5
- calculated total energy (eV for the cell shown) = -58.856
- M_tot (μB/f.u.) = 0.00

---

A geometry-optimized Pm3Dy6Er2Zr structure. Source: Alexandria, functional PBE-GGA.

abc: 6.113 6.113 11.679
angles: 94.98 94.98 119.92
Fractional coordinates of all 12 atoms:
1 Pm 0.000 0.000 0.000
2 Pm 0.334 0.666 0.000
3 Pm 0.666 0.334 0.000
4 Dy 0.093 0.420 0.259
5 Dy 0.254 0.254 0.741
6 Dy 0.420 0.093 0.259
7 Dy 0.580 0.907 0.741
8 Dy 0.746 0.746 0.259
9 Dy 0.907 0.580 0.741
10 Er 0.167 0.833 0.500
11 Er 0.833 0.167 0.500
12 Zr 0.500 0.500 0.500

Values from the calculation:
- energy relative to the elements (eV per formula unit) = 0.5
- calculated total energy (eV for the cell shown) = -59.024
- M_tot (μB/f.u.) = 0.00